1.
Material: Sm2Y6Cd
Method: DFT, GGA-PBE
State: relaxed

CIF file:
```
data_Sm2Y6Cd
_cell_length_a 9.469
_cell_length_b 9.469
_cell_length_c 3.657
_cell_angle_alpha 90.00
_cell_angle_beta 90.00
_cell_angle_gamma 120.00
_symmetry_space_group_name_H-M 'P 1'
_symmetry_Int_Tables_number 1
_symmetry_space_group_name_Hall 'P 1'
loop_
_atom_site_label
_atom_site_fract_x
_atom_site_fract_y
_atom_site_fract_z
Sm1 0.333 0.667 0.000
Sm2 0.667 0.333 0.000
Y1 0.000 0.380 0.500
Y2 0.000 0.725 0.000
Y3 0.275 0.275 0.000
Y4 0.380 0.000 0.500
Y5 0.620 0.620 0.500
Y6 0.725 0.000 0.000
Cd1 0.000 0.000 0.500
```

As for the electronic total energy: -5.53 eV/atom. The value obtained for the formation energy is -0.073 eV/atom. The symmetry is No. 189. As for the density of states at the Fermi level: 0.9585 states/eV per atom.

=====

2.
Material: POs2Se
Method: DFT, GGA-PBE
State: relaxed

CIF file:
```
data_POs2Se
_cell_length_a 4.250
_cell_length_b 4.250
_cell_length_c 5.449
_cell_angle_alpha 99.38
_cell_angle_beta 99.38
_cell_angle_gamma 42.24
_symmetry_space_group_name_H-M 'P 1'
_symmetry_Int_Tables_number 1
_symmetry_space_group_name_Hall 'P 1'
loop_
_atom_site_label
_atom_site_fract_x
_atom_site_fract_y
_atom_site_fract_z
P1 0.000 0.000 0.000
Os1 0.462 0.462 0.311
Os2 0.710 0.710 0.957
Se1 0.205 0.205 0.550
```

The uncorrected formation energy comes out at 0.215 eV/atom. As for the electronic total energy: -7.62 eV/atom. The symmetry is No. 8. As for the density of states at the Fermi level: 0.5083 states/eV per atom.

=====

3.
Material: PtW3
Method: DFT, GGA-PBE
State: relaxed

CIF file:
```
data_PtW3
_cell_length_a 2.797
_cell_length_b 2.797
_cell_length_c 9.512
_cell_angle_alpha 90.00
_cell_angle_beta 90.00
_cell_angle_gamma 120.00
_symmetry_space_group_name_H-M 'P 1'
_symmetry_Int_Tables_number 1
_symmetry_space_group_name_Hall 'P 1'
loop_
_atom_site_label
_atom_site_fract_x
_atom_site_fract_y
_atom_site_fract_z
Pt1 0.000 0.000 0.000
W1 0.000 0.000 0.500
W2 0.333 0.667 0.241
W3 0.333 0.667 0.759
```

As for the electronic total energy: -11.07 eV/atom. The value obtained for the formation energy is 0.156 eV/atom. The symmetry is No. 187. As for the density of states at the Fermi level: 0.8395 states/eV per atom.

=====

4.
Material: K2GdNb5O15
Method: DFT, GGA-PBE
State: relaxed

CIF file:
```
data_K2GdNb5O15
_cell_length_a 12.764
_cell_length_b 12.764
_cell_length_c 3.962
_cell_angle_alpha 90.00
_cell_angle_beta 90.00
_cell_angle_gamma 90.00
_symmetry_space_group_name_H-M 'P 1'
_symmetry_Int_Tables_number 1
_symmetry_space_group_name_Hall 'P 1'
loop_
_atom_site_label
_atom_site_fract_x
_atom_site_fract_y
_atom_site_fract_z
K1 0.171 0.329 0.000
K2 0.329 0.829 0.000
K3 0.671 0.171 0.000
K4 0.829 0.671 0.000
Gd1 0.000 0.000 0.000
Gd2 0.500 0.500 0.000
Nb1 0.000 0.500 0.500
Nb2 0.076 0.788 0.500
Nb3 0.212 0.076 0.500
Nb4 0.288 0.576 0.500
Nb5 0.424 0.288 0.500
Nb6 0.500 0.000 0.500
Nb7 0.576 0.712 0.500
Nb8 0.712 0.424 0.500
Nb9 0.788 0.924 0.500
Nb10 0.924 0.212 0.500
O1 0.000 0.500 0.000
O2 0.001 0.342 0.500
O3 0.059 0.132 0.500
O4 0.078 0.813 0.000
O5 0.132 0.941 0.500
O6 0.158 0.499 0.500
O7 0.187 0.078 0.000
O8 0.216 0.716 0.500
O9 0.284 0.216 0.500
O10 0.313 0.578 0.000
O11 0.342 0.999 0.500
O12 0.368 0.441 0.500
O13 0.422 0.313 0.000
O14 0.441 0.632 0.500
O15 0.499 0.842 0.500
O16 0.500 0.000 0.000
O17 0.501 0.158 0.500
O18 0.559 0.368 0.500
O19 0.578 0.687 0.000
O20 0.632 0.559 0.500
O21 0.658 0.001 0.500
O22 0.687 0.422 0.000
O23 0.716 0.784 0.500
O24 0.784 0.284 0.500
O25 0.813 0.922 0.000
O26 0.842 0.501 0.500
O27 0.868 0.059 0.500
O28 0.922 0.187 0.000
O29 0.941 0.868 0.500
O30 0.999 0.658 0.500
```

The uncorrected formation energy comes out at -2.623 eV/atom. As for the electronic total energy: -8.75 eV/atom. The symmetry is No. 127. As for the density of states at the Fermi level: 0.0000 states/eV per atom.

=====

5.
Material: CrP2W
Method: DFT, GGA-PBE
State: relaxed

CIF file:
```
data_CrP2W
_cell_length_a 2.959
_cell_length_b 4.457
_cell_length_c 4.078
_cell_angle_alpha 90.00
_cell_angle_beta 90.00
_cell_angle_gamma 90.00
_symmetry_space_group_name_H-M 'P 1'
_symmetry_Int_Tables_number 1
_symmetry_space_group_name_Hall 'P 1'
loop_
_atom_site_label
_atom_site_fract_x
_atom_site_fract_y
_atom_site_fract_z
Cr1 0.000 0.000 0.000
P1 0.000 0.500 0.761
P2 0.500 0.000 0.504
W1 0.500 0.500 0.249
```

As for the electronic total energy: -8.47 eV/atom. The value obtained for the formation energy is -0.125 eV/atom. The symmetry is No. 25. As for the density of states at the Fermi level: 0.7303 states/eV per atom.

=====

6.
Material: Y3Sn5Te12
Method: DFT, GGA-PBE
State: relaxed

CIF file:
```
data_Y3Sn5Te12
_cell_length_a 15.566
_cell_length_b 15.566
_cell_length_c 15.566
_cell_angle_alpha 109.47
_cell_angle_beta 109.47
_cell_angle_gamma 109.47
_symmetry_space_group_name_H-M 'P 1'
_symmetry_Int_Tables_number 1
_symmetry_space_group_name_Hall 'P 1'
loop_
_atom_site_label
_atom_site_fract_x
_atom_site_fract_y
_atom_site_fract_z
Y1 0.125 0.250 0.375
Y2 0.125 0.375 0.750
Y3 0.250 0.375 0.125
Y4 0.250 0.875 0.625
Y5 0.375 0.125 0.250
Y6 0.375 0.750 0.125
Y7 0.625 0.250 0.875
Y8 0.625 0.875 0.750
Y9 0.750 0.125 0.375
Y10 0.750 0.625 0.875
Y11 0.875 0.625 0.250
Y12 0.875 0.750 0.625
Sn1 0.000 0.000 0.000
Sn2 0.000 0.000 0.500
Sn3 0.000 0.500 0.000
Sn4 0.000 0.500 0.500
Sn5 0.125 0.750 0.875
Sn6 0.125 0.875 0.250
Sn7 0.250 0.125 0.875
Sn8 0.250 0.625 0.375
Sn9 0.375 0.250 0.625
Sn10 0.375 0.625 0.750
Sn11 0.500 0.000 0.000
Sn12 0.500 0.000 0.500
Sn13 0.500 0.500 0.000
Sn14 0.500 0.500 0.500
Sn15 0.625 0.375 0.250
Sn16 0.625 0.750 0.375
Sn17 0.750 0.375 0.625
Sn18 0.750 0.875 0.125
Sn19 0.875 0.125 0.750
Sn20 0.875 0.250 0.125
Te1 0.053 0.224 0.139
Te2 0.053 0.329 0.914
Te3 0.085 0.724 0.671
Te4 0.085 0.861 0.414
Te5 0.086 0.639 0.415
Te6 0.086 0.947 0.671
Te7 0.139 0.053 0.224
Te8 0.139 0.586 0.915
Te9 0.171 0.224 0.585
Te10 0.171 0.447 0.586
Te11 0.224 0.139 0.053
Te12 0.224 0.585 0.171
Te13 0.276 0.329 0.915
Te14 0.276 0.447 0.361
Te15 0.329 0.914 0.053
Te16 0.329 0.915 0.276
Te17 0.361 0.276 0.447
Te18 0.361 0.585 0.914
Te19 0.414 0.085 0.861
Te20 0.414 0.829 0.553
Te21 0.415 0.086 0.639
Te22 0.415 0.829 0.776
Te23 0.447 0.361 0.276
Te24 0.447 0.586 0.171
Te25 0.553 0.414 0.829
Te26 0.553 0.639 0.724
Te27 0.585 0.171 0.224
Te28 0.585 0.914 0.361
Te29 0.586 0.171 0.447
Te30 0.586 0.915 0.139
Te31 0.639 0.415 0.086
Te32 0.639 0.724 0.553
Te33 0.671 0.085 0.724
Te34 0.671 0.086 0.947
Te35 0.724 0.553 0.639
Te36 0.724 0.671 0.085
Te37 0.776 0.415 0.829
Te38 0.776 0.861 0.947
Te39 0.829 0.553 0.414
Te40 0.829 0.776 0.415
Te41 0.861 0.414 0.085
Te42 0.861 0.947 0.776
Te43 0.914 0.053 0.329
Te44 0.914 0.361 0.585
Te45 0.915 0.139 0.586
Te46 0.915 0.276 0.329
Te47 0.947 0.671 0.086
Te48 0.947 0.776 0.861
```

The uncorrected formation energy comes out at -0.543 eV/atom. As for the electronic total energy: -4.40 eV/atom. The symmetry is No. 230. As for the density of states at the Fermi level: 0.4245 states/eV per atom.

=====

7.
Material: CaLa2MnSb
Method: DFT, GGA-PBE
State: relaxed

CIF file:
```
data_CaLa2MnSb
_cell_length_a 5.281
_cell_length_b 5.281
_cell_length_c 5.267
_cell_angle_alpha 90.00
_cell_angle_beta 90.00
_cell_angle_gamma 90.00
_symmetry_space_group_name_H-M 'P 1'
_symmetry_Int_Tables_number 1
_symmetry_space_group_name_Hall 'P 1'
loop_
_atom_site_label
_atom_site_fract_x
_atom_site_fract_y
_atom_site_fract_z
Ca1 0.000 0.000 0.000
La1 0.000 0.500 0.500
La2 0.500 0.000 0.500
Mn1 0.500 0.500 0.500
Sb1 0.500 0.500 0.000
```

The uncorrected formation energy comes out at -0.141 eV/atom. As for the electronic total energy: -5.17 eV/atom. The symmetry is No. 123. As for the density of states at the Fermi level: 1.1079 states/eV per atom.

=====

8.
Material: VZnGa2Ir
Method: DFT, GGA-PBE
State: relaxed

CIF file:
```
data_VZnGa2Ir
_cell_length_a 4.773
_cell_length_b 4.773
_cell_length_c 4.878
_cell_angle_alpha 90.00
_cell_angle_beta 90.00
_cell_angle_gamma 90.00
_symmetry_space_group_name_H-M 'P 1'
_symmetry_Int_Tables_number 1
_symmetry_space_group_name_Hall 'P 1'
loop_
_atom_site_label
_atom_site_fract_x
_atom_site_fract_y
_atom_site_fract_z
V1 0.000 0.000 0.000
Zn1 0.500 0.500 0.000
Ga1 0.000 0.500 0.500
Ga2 0.500 0.000 0.500
Ir1 0.000 0.000 0.500
```

As for the electronic total energy: -4.74 eV/atom. The value obtained for the formation energy is 0.321 eV/atom. The symmetry is No. 123. As for the density of states at the Fermi level: 0.8073 states/eV per atom.

=====

9.
Material: Dy4TlAg2
Method: DFT, GGA-PBE
State: relaxed

CIF file:
```
data_Dy4TlAg2
_cell_length_a 8.747
_cell_length_b 8.747
_cell_length_c 8.747
_cell_angle_alpha 34.36
_cell_angle_beta 34.36
_cell_angle_gamma 34.36
_symmetry_space_group_name_H-M 'P 1'
_symmetry_Int_Tables_number 1
_symmetry_space_group_name_Hall 'P 1'
loop_
_atom_site_label
_atom_site_fract_x
_atom_site_fract_y
_atom_site_fract_z
Dy1 0.115 0.115 0.115
Dy2 0.369 0.369 0.369
Dy3 0.631 0.631 0.631
Dy4 0.885 0.885 0.885
Tl1 0.500 0.500 0.500
Ag1 0.246 0.246 0.246
Ag2 0.754 0.754 0.754
```

As for the electronic total energy: -3.95 eV/atom. The value obtained for the formation energy is -0.171 eV/atom. The symmetry is No. 166. As for the density of states at the Fermi level: 1.0673 states/eV per atom.

=====

10.
Material: Mn2ReCl
Method: DFT, GGA-PBE
State: relaxed

CIF file:
```
data_Mn2ReCl
_cell_length_a 4.615
_cell_length_b 2.808
_cell_length_c 4.787
_cell_angle_alpha 90.00
_cell_angle_beta 108.70
_cell_angle_gamma 90.00
_symmetry_space_group_name_H-M 'P 1'
_symmetry_Int_Tables_number 1
_symmetry_space_group_name_Hall 'P 1'
loop_
_atom_site_label
_atom_site_fract_x
_atom_site_fract_y
_atom_site_fract_z
Mn1 0.000 0.000 0.000
Mn2 0.000 0.500 0.500
Re1 0.500 0.000 0.500
Cl1 0.500 0.500 0.000
```

The uncorrected formation energy comes out at 0.852 eV/atom. As for the electronic total energy: -7.31 eV/atom. The symmetry is No. 10. As for the density of states at the Fermi level: 1.0927 states/eV per atom.